Density functional theory data (GGA-PBE) for a relaxed SrCu3H crystal.

Its energy above the most stable polymorph in this dataset is 1.289 eV per atom. Its crystal system is cubic.

It has space group Pm-3m (No. 221), with a = 5.869 Å, b = 5.869 Å, c = 5.869 Å, α = 90.00°, β = 90.00° and γ = 90.00°. The asymmetric unit holds Sr at (0.000, 0.000, 0.000), Cu at (0.000, 0.000, 0.500) and H at (0.500, 0.500, 0.500).

Density functional theory data (GGA-PBE) for a relaxed Ho3ErSc crystal.

Its energy above the most stable polymorph in this dataset is 0.000 eV per atom. The formation energy comes out at 15 meV per atom. Its crystal system is triclinic.

It has space group P-1 (No. 2), with a = 6.120 Å, b = 6.545 Å, c = 8.976 Å, α = 107.62°, β = 90.06° and γ = 117.83°. The asymmetric unit holds Ho at (0.066, 0.297, 0.052), Ho at (0.266, 0.700, 0.451), Ho at (0.334, 0.495, 0.747), Er at (0.468, 0.096, 0.847) and Sc at (0.131, 0.097, 0.353).

Density functional theory data (GGA-PBE) for a relaxed SrAsPtBr2 crystal.

Its energy above the most stable polymorph in this dataset is 0.976 eV per atom. Its formation energy without anion corrections is 409 meV/atom. Its crystal system is tetragonal.

It has space group P4/mmm (No. 123), with a = 5.705 Å, b = 5.705 Å, c = 6.395 Å, α = 90.00°, β = 90.00° and γ = 90.00°. The asymmetric unit holds Sr at (0.000, 0.000, 0.000), As at (0.000, 0.000, 0.500), Pt at (0.500, 0.500, 0.500) and Br at (0.000, 0.500, 0.000).

Short version: calculated volume = 202, 299, 208 Å³ per cell, in the order given.